(1)
A plane-wave DFT calculation with PBE was carried out for an optimized crystal structure of Li2Si.

The structure in POSCAR format:
```
Li2Si
1.0
-3.132 3.132 2.534
3.132 -3.132 2.534
3.132 3.132 -2.534
Li Si
4 2
Cartesian
4.232 1.100 0.000
1.100 2.032 0.000
2.032 1.100 2.534
-1.100 2.032 2.534
0.000 0.000 1.267
0.000 0.000 3.801
```

Calculated values
The calculation puts the energy relative to the elements, uncorrected at -0.14 eV/atom. For the density of states at the Fermi level, the calculation gives 0.1425 states/eV per atom. Its space group is I4/mcm (140).



(2)
A plane-wave DFT calculation with PBE was carried out for an optimized crystal structure of Rb2PuZnO6.

The structure in POSCAR format:
```
Rb2PuZnO6
1.0
3.048 1.760 10.075
-3.048 1.760 10.075
0.000 -3.519 10.075
Rb Pu Zn O
4 2 2 12
Cartesian
0.000 0.000 3.997
0.000 0.000 8.684
0.000 0.000 21.540
0.000 0.000 26.227
0.000 0.000 12.355
0.000 0.000 17.869
0.000 0.000 0.000
0.000 0.000 15.112
-1.334 -0.770 13.632
0.000 -1.664 11.266
-1.441 0.832 11.266
-1.441 -0.832 18.958
0.000 -1.540 16.592
-1.334 0.770 16.592
1.334 -0.770 13.632
0.000 1.540 13.632
1.441 0.832 11.266
1.441 -0.832 18.958
0.000 1.664 18.958
1.334 0.770 16.592
```

Calculated values
The calculation puts the energy relative to the elements, uncorrected at -1.79 eV/atom. For the density of states at the Fermi level, the calculation gives 0.5217 states/eV per atom. Its space group is R-3m (166).



(3)
A plane-wave DFT calculation with PBE was carried out for an optimized crystal structure of TlPtAu.

The structure in POSCAR format:
```
TlPtAu
1.0
3.984 -2.487 0.000
3.984 2.487 0.000
-3.830 0.000 6.460
Tl Pt Au
2 2 2
Cartesian
-0.169 0.000 2.048
4.307 0.000 4.411
2.617 0.000 1.965
1.521 0.000 4.494
-1.084 0.000 5.685
5.223 0.000 0.774
```

Calculated values
The calculation puts the energy relative to the elements at 0.053 eV/atom. As for the energy above the most stable polymorph in this dataset: 16 meV per atom. For the density of states at the Fermi level, the calculation gives 0.4318 states/eV per atom. Its space group is C2/m (12).



(4)
A plane-wave DFT calculation with PBE was carried out for an optimized crystal structure of Pm4Pr8Tm3.

The structure in POSCAR format:
```
Pm4Pr8Tm3
1.0
3.546 2.047 12.084
-3.546 2.047 12.084
0.000 -4.094 12.084
Pm Pr Tm
4 8 3
Cartesian
0.000 0.000 0.000
0.000 0.000 5.945
0.000 0.000 18.126
0.000 0.000 30.308
0.000 -2.036 15.052
-1.763 1.018 15.052
-1.763 -1.018 21.201
0.000 0.000 9.232
0.000 0.000 27.021
1.763 1.018 15.052
1.763 -1.018 21.201
0.000 2.036 21.201
-1.773 -1.024 12.084
-1.773 1.024 24.168
0.000 2.047 12.084
```

Calculated values
The calculation puts the energy relative to the elements at 0.127 eV/atom. As for the energy above the most stable polymorph in this dataset: 0 meV per atom. For the density of states at the Fermi level, the calculation gives 1.5872 states/eV per atom. Its space group is R-3m (166).



(5)
A plane-wave DFT calculation with PBE was carried out for an optimized crystal structure of La2ScTa.

The structure in POSCAR format:
```
La2ScTa
1.0
3.798 0.000 0.000
0.000 3.798 0.000
0.000 0.000 7.838
La Sc Ta
2 1 1
Cartesian
0.000 0.000 0.000
1.899 1.899 2.663
0.000 0.000 4.681
1.899 1.899 5.893
```

Calculated values
The calculation puts the energy relative to the elements at 0.303 eV/atom. As for the energy above the most stable polymorph in this dataset: 35 meV per atom. For the density of states at the Fermi level, the calculation gives 1.3568 states/eV per atom. Its space group is P4mm (99).



(6)
A plane-wave DFT calculation with PBE was carried out for an optimized crystal structure of PmTmScTl.

The structure in POSCAR format:
```
PmTmScTl
1.0
0.000 3.781 3.781
3.781 0.000 3.781
3.781 3.781 0.000
Pm Tm Sc Tl
1 1 1 1
Cartesian
0.000 0.000 0.000
1.890 1.890 1.890
5.671 5.671 5.671
3.781 3.781 3.781
```

Calculated values
The calculation puts the energy relative to the elements at 0.008 eV/atom. As for the energy above the most stable polymorph in this dataset: 178 meV per atom. For the density of states at the Fermi level, the calculation gives 1.3383 states/eV per atom. Its space group is F-43m (216).